# 1
First-principles (GGA-PBEsol) data for crystalline TiNbBi3O9 at its relaxed geometry, as listed in Alexandria.

Final energy ... -7.679 eV per atom
Formation energy without anion corrections ... -28.257 eV per formula unit

a b c (Å): 5.3956 5.4426 12.8477
angles (deg): 90.00 101.65 90.00
Sites, in units of the cell vectors:
Ti  0.1658  0.0000  0.3263
Ti  0.8342  0.5000  0.6737
Nb  0.3296  0.0025  0.6744
Nb  0.6704  0.5025  0.3256
Bi  0.0701  0.4300  0.1024
Bi  0.2491  0.4541  0.5004
Bi  0.4744  0.4407  0.8989
Bi  0.5256  0.9407  0.1011
Bi  0.7509  0.9541  0.4996
Bi  0.9299  0.9300  0.8976
O  0.0221  0.8221  0.6725
O  0.1399  0.3268  0.6730
O  0.1650  0.0162  0.1869
O  0.1703  0.0415  0.5002
O  0.2423  0.7038  0.9980
O  0.2553  0.2034  0.9977
O  0.4006  0.7382  0.3710
O  0.4735  0.2351  0.3721
O  0.4737  0.0028  0.8194
O  0.5263  0.5028  0.1806
O  0.5265  0.7351  0.6279
O  0.5994  0.2382  0.6290
O  0.7447  0.7034  0.0023
O  0.7577  0.2038  0.0020
O  0.8297  0.5415  0.4998
O  0.8350  0.5162  0.8131
O  0.8601  0.8268  0.3270
O  0.9779  0.3221  0.3275

***

# 2
First-principles (GGA-PBEsol) data for crystalline TiNbBi3O9 at its relaxed geometry, as listed in Alexandria.

Final energy ... -7.617 eV per atom
Formation energy without anion corrections ... -27.391 eV per formula unit

a b c (Å): 12.7311 12.7311 12.7311
angles (deg): 162.69 162.69 24.57
Sites, in units of the cell vectors:
Ti  0.0000  0.0000  0.0000
Nb  0.8232  0.8232  0.0000
Bi  0.2087  0.2087  0.0000
Bi  0.4225  0.4225  0.0000
Bi  0.6074  0.6074  0.0000
O  0.0719  0.0719  0.0000
O  0.1585  0.6585  0.5000
O  0.3358  0.8358  0.5000
O  0.4855  0.9855  0.5000
O  0.6585  0.1585  0.5000
O  0.7468  0.7468  0.0000
O  0.8358  0.3358  0.5000
O  0.9119  0.9119  0.0000
O  0.9855  0.4855  0.5000

***

# 3
First-principles (GGA-PBEsol) data for crystalline Nb2Zn2BiO8 at its relaxed geometry, as listed in Alexandria.

Final energy ... -7.373 eV per atom
Formation energy without anion corrections ... -24.765 eV per formula unit

a b c (Å): 10.7280 10.7280 5.4116
angles (deg): 93.24 93.24 31.43
Sites, in units of the cell vectors:
Nb  0.0417  0.7133  0.7988
Nb  0.2867  0.9583  0.7012
Nb  0.7133  0.0417  0.2988
Nb  0.9583  0.2867  0.2012
Zn  0.1237  0.4376  0.2868
Zn  0.4376  0.1237  0.7868
Zn  0.5624  0.8763  0.2132
Zn  0.8763  0.5624  0.7132
Bi  0.2902  0.7098  0.2500
Bi  0.7098  0.2902  0.7500
O  0.0047  0.8533  0.5032
O  0.0619  0.2873  0.8980
O  0.1467  0.9953  0.9968
O  0.1532  0.4462  0.6552
O  0.2873  0.0619  0.3980
O  0.3420  0.5328  0.8943
O  0.4462  0.1532  0.1552
O  0.4672  0.6580  0.6057
O  0.5328  0.3420  0.3943
O  0.5538  0.8468  0.8448
O  0.6580  0.4672  0.1057
O  0.7127  0.9381  0.6020
O  0.8468  0.5538  0.3448
O  0.8533  0.0047  0.0032
O  0.9381  0.7127  0.1020
O  0.9953  0.1467  0.4968

***

# 4
First-principles (GGA-PBEsol) data for crystalline Nb3Zn2Bi3O14 at its relaxed geometry, as listed in Alexandria.

Final energy ... -7.454 eV per atom
Formation energy without anion corrections ... -42.010 eV per formula unit

a b c (Å): 10.5271 10.5271 10.5271
angles (deg): 90.00 90.00 90.00
Sites, in units of the cell vectors:
Nb  0.1225  0.1250  0.8725
Nb  0.1250  0.8725  0.1225
Nb  0.1275  0.6225  0.3750
Nb  0.3725  0.3775  0.8750
Nb  0.3750  0.1275  0.6225
Nb  0.3775  0.8750  0.3725
Nb  0.6225  0.3750  0.1275
Nb  0.6250  0.6275  0.8775
Nb  0.6275  0.8775  0.6250
Nb  0.8725  0.1225  0.1250
Nb  0.8750  0.3725  0.3775
Nb  0.8775  0.6250  0.6275
Zn  0.1250  0.3750  0.6250
Zn  0.1250  0.6250  0.8750
Zn  0.3750  0.3750  0.3750
Zn  0.3750  0.6250  0.1250
Zn  0.6250  0.1250  0.3750
Zn  0.6250  0.8750  0.1250
Zn  0.8750  0.1250  0.6250
Zn  0.8750  0.8750  0.8750
Bi  0.0983  0.8750  0.6517
Bi  0.1250  0.1517  0.4017
Bi  0.1517  0.4017  0.1250
Bi  0.3483  0.5983  0.6250
Bi  0.3750  0.8483  0.9017
Bi  0.4017  0.1250  0.1517
Bi  0.5983  0.6250  0.3483
Bi  0.6250  0.3483  0.5983
Bi  0.6517  0.0983  0.8750
Bi  0.8483  0.9017  0.3750
Bi  0.8750  0.6517  0.0983
Bi  0.9017  0.3750  0.8483
O  0.0015  0.4979  0.3092
O  0.0021  0.6908  0.5015
O  0.0048  0.2963  0.4913
O  0.0087  0.9952  0.7963
O  0.0209  0.5209  0.9791
O  0.0463  0.2548  0.7587
O  0.0592  0.7479  0.2485
O  0.1908  0.9985  0.9979
O  0.2037  0.5087  0.5048
O  0.2291  0.7291  0.7709
O  0.2413  0.5463  0.2452
O  0.2452  0.2413  0.5463
O  0.2479  0.2515  0.9408
O  0.2485  0.0592  0.7479
O  0.2515  0.9408  0.2479
O  0.2521  0.7485  0.4408
O  0.2548  0.7587  0.0463
O  0.2587  0.4537  0.7452
O  0.2709  0.2709  0.2709
O  0.2963  0.4913  0.0048
O  0.3092  0.0015  0.4979
O  0.4408  0.2521  0.7485
O  0.4537  0.7452  0.2587
O  0.4791  0.4791  0.4791
O  0.4913  0.0048  0.2963
O  0.4952  0.7037  0.9913
O  0.4979  0.3092  0.0015
O  0.4985  0.5021  0.8092
O  0.5015  0.0021  0.6908
O  0.5021  0.8092  0.4985
O  0.5048  0.2037  0.5087
O  0.5087  0.5048  0.2037
O  0.5209  0.9791  0.0209
O  0.5463  0.2452  0.2413
O  0.5592  0.7521  0.7515
O  0.6908  0.5015  0.0021
O  0.7037  0.9913  0.4952
O  0.7291  0.7709  0.2291
O  0.7413  0.9537  0.7548
O  0.7452  0.2587  0.4537
O  0.7479  0.2485  0.0592
O  0.7485  0.4408  0.2521
O  0.7515  0.5592  0.7521
O  0.7521  0.7515  0.5592
O  0.7548  0.7413  0.9537
O  0.7587  0.0463  0.2548
O  0.7709  0.2291  0.7291
O  0.7963  0.0087  0.9952
O  0.8092  0.4985  0.5021
O  0.9408  0.2479  0.2515
O  0.9537  0.7548  0.7413
O  0.9791  0.0209  0.5209
O  0.9913  0.4952  0.7037
O  0.9952  0.7963  0.0087
O  0.9979  0.1908  0.9985
O  0.9985  0.9979  0.1908

***

# 5
First-principles (GGA-PBEsol) data for crystalline NbBi3Pb at its relaxed geometry, as listed in Alexandria.

Final energy ... -5.079 eV per atom
Energy of formation from the pure elements ... 0.456 eV/atom

a b c (Å): 5.4650 5.4650 5.4650
angles (deg): 90.00 90.00 90.00
Sites, in units of the cell vectors:
Nb  0.0000  0.0000  0.0000
Bi  0.0000  0.0000  0.5000
Bi  0.0000  0.5000  0.0000
Bi  0.5000  0.0000  0.0000
Pb  0.5000  0.5000  0.5000

***

# 6
First-principles (GGA-PBEsol) data for crystalline Nb3BiPt at its relaxed geometry, as listed in Alexandria.

Final energy ... -7.846 eV per atom
Energy of formation from the pure elements ... 0.897 eV/atom

a b c (Å): 4.9001 4.9001 4.9001
angles (deg): 90.00 90.00 90.00
Sites, in units of the cell vectors:
Nb  0.0000  0.0000  0.5000
Nb  0.0000  0.5000  0.0000
Nb  0.5000  0.0000  0.0000
Bi  0.5000  0.5000  0.5000
Pt  0.0000  0.0000  0.0000

***

# 7
First-principles (GGA-PBEsol) data for crystalline RbNb3Bi at its relaxed geometry, as listed in Alexandria.

Final energy ... -5.071 eV per atom
Energy of formation from the pure elements ... 2.484 eV/atom

a b c (Å): 4.8369 4.8369 4.8369
angles (deg): 90.00 90.00 90.00
Sites, in units of the cell vectors:
Rb  0.0000  0.0000  0.0000
Nb  0.0000  0.0000  0.5000
Nb  0.0000  0.5000  0.0000
Nb  0.5000  0.0000  0.0000
Bi  0.5000  0.5000  0.5000

***

# 8
First-principles (GGA-PBEsol) data for crystalline NbBi2Rh at its relaxed geometry, as listed in Alexandria.

Final energy ... -6.678 eV per atom
Energy of formation from the pure elements ... 0.205 eV/atom

a b c (Å): 4.8451 4.8451 4.8451
angles (deg): 60.00 60.00 60.00
Sites, in units of the cell vectors:
Nb  0.0000  0.0000  0.0000
Bi  0.2500  0.2500  0.2500
Bi  0.7500  0.7500  0.7500
Rh  0.5000  0.5000  0.5000

***

# 9
First-principles (GGA-PBEsol) data for crystalline NbBiRuSe2 at its relaxed geometry, as listed in Alexandria.

Final energy ... -4.500 eV per atom
Formation energy without anion corrections ... 10.479 eV per formula unit

a b c (Å): 5.3354 5.3354 5.3510
angles (deg): 90.00 90.00 90.00
Sites, in units of the cell vectors:
Nb  0.0000  0.0000  0.0000
Bi  0.0000  0.0000  0.5000
Ru  0.5000  0.5000  0.0000
Se  0.0000  0.5000  0.5000
Se  0.5000  0.0000  0.5000

***

# 10
First-principles (GGA-PBEsol) data for crystalline NbBiS3 at its relaxed geometry, as listed in Alexandria.

Final energy ... -5.956 eV per atom
Formation energy without anion corrections ... -1.523 eV per formula unit

a b c (Å): 4.7706 4.7706 4.7706
angles (deg): 90.00 90.00 90.00
Sites, in units of the cell vectors:
Nb  0.0000  0.0000  0.0000
Bi  0.5000  0.5000  0.5000
S  0.0000  0.0000  0.5000
S  0.0000  0.5000  0.0000
S  0.5000  0.0000  0.0000

***

# 11
First-principles (GGA-PBEsol) data for crystalline Nb2BiTeS at its relaxed geometry, as listed in Alexandria.

Final energy ... -6.310 eV per atom
Formation energy without anion corrections ... 2.288 eV per formula unit

a b c (Å): 4.6506 4.6506 5.3791
angles (deg): 90.00 90.00 90.00
Sites, in units of the cell vectors:
Nb  0.0000  0.5000  0.0000
Nb  0.5000  0.0000  0.0000
Bi  0.0000  0.0000  0.5000
Te  0.5000  0.5000  0.5000
S  0.0000  0.0000  0.0000

***

# 12
First-principles (GGA-PBEsol) data for crystalline NbBi3Sb at its relaxed geometry, as listed in Alexandria.

Final energy ... -4.204 eV per atom
Formation energy without anion corrections ... 7.214 eV per formula unit

a b c (Å): 5.6550 5.6550 5.6550
angles (deg): 90.00 90.00 90.00
Sites, in units of the cell vectors:
Nb  0.0000  0.0000  0.0000
Bi  0.0000  0.5000  0.5000
Bi  0.5000  0.0000  0.5000
Bi  0.5000  0.5000  0.0000
Sb  0.5000  0.5000  0.5000

***

# 13
First-principles (GGA-PBEsol) data for crystalline Nb3BiSe at its relaxed geometry, as listed in Alexandria.

Final energy ... -7.582 eV per atom
Formation energy without anion corrections ... 2.691 eV per formula unit

a b c (Å): 4.7548 4.7548 4.7548
angles (deg): 90.00 90.00 90.00
Sites, in units of the cell vectors:
Nb  0.0000  0.0000  0.5000
Nb  0.0000  0.5000  0.0000
Nb  0.5000  0.0000  0.0000
Bi  0.5000  0.5000  0.5000
Se  0.0000  0.0000  0.0000

***

# 14
First-principles (GGA-PBEsol) data for crystalline Nb2SiBi at its relaxed geometry, as listed in Alexandria.

Final energy ... -7.802 eV per atom
Formation energy without anion corrections ... 0.466 eV per formula unit

a b c (Å): 4.6853 4.6853 4.6853
angles (deg): 60.00 60.00 60.00
Sites, in units of the cell vectors:
Nb  0.2500  0.2500  0.2500
Nb  0.7500  0.7500  0.7500
Si  0.0000  0.0000  0.0000
Bi  0.5000  0.5000  0.5000

***

# 15
First-principles (GGA-PBEsol) data for crystalline NbSiBi2 at its relaxed geometry, as listed in Alexandria.

Final energy ... -5.366 eV per atom
Formation energy without anion corrections ... 3.674 eV per formula unit

a b c (Å): 7.7820 7.7820 7.7820
angles (deg): 131.18 131.18 71.53
Sites, in units of the cell vectors:
Nb  0.0000  0.0000  0.0000
Nb  0.7500  0.2500  0.5000
Si  0.2500  0.7500  0.5000
Si  0.5000  0.5000  0.0000
Bi  0.1297  0.6250  0.0047
Bi  0.3750  0.3797  0.5047
Bi  0.6203  0.1250  0.9953
Bi  0.8750  0.8703  0.4953

***

# 16
First-principles (GGA-PBEsol) data for crystalline Zr2NbSiBi at its relaxed geometry, as listed in Alexandria.

Final energy ... -6.238 eV per atom
Formation energy without anion corrections ... 7.843 eV per formula unit

a b c (Å): 5.2884 5.2884 5.0768
angles (deg): 90.00 90.00 90.00
Sites, in units of the cell vectors:
Zr  0.0000  0.5000  0.0000
Zr  0.5000  0.0000  0.0000
Nb  0.0000  0.0000  0.5000
Si  0.5000  0.5000  0.5000
Bi  0.0000  0.0000  0.0000

***

# 17
First-principles (GGA-PBEsol) data for crystalline NbSnBiW2 at its relaxed geometry, as listed in Alexandria.

Final energy ... -6.742 eV per atom
Energy of formation from the pure elements ... 2.654 eV/atom

a b c (Å): 4.8878 4.8878 5.3679
angles (deg): 90.00 90.00 90.00
Sites, in units of the cell vectors:
Nb  0.0000  0.0000  0.0000
Sn  0.5000  0.5000  0.5000
Bi  0.5000  0.5000  0.0000
W  0.0000  0.5000  0.5000
W  0.5000  0.0000  0.5000

***

# 18
First-principles (GGA-PBEsol) data for crystalline SrNb2BiTe at its relaxed geometry, as listed in Alexandria.

Final energy ... -5.387 eV per atom
Formation energy without anion corrections ... 4.362 eV per formula unit

a b c (Å): 5.0933 5.0933 5.9809
angles (deg): 90.00 90.00 90.00
Sites, in units of the cell vectors:
Sr  0.0000  0.0000  0.0000
Nb  0.0000  0.5000  0.5000
Nb  0.5000  0.0000  0.5000
Bi  0.5000  0.5000  0.0000
Te  0.5000  0.5000  0.5000

***

# 19
First-principles (GGA-PBEsol) data for crystalline TaNbBi2 at its relaxed geometry, as listed in Alexandria.

Final energy ... -7.606 eV per atom
Energy of formation from the pure elements ... 0.380 eV/atom

a b c (Å): 4.9124 4.9124 4.9124
angles (deg): 60.00 60.00 60.00
Sites, in units of the cell vectors:
Ta  0.0000  0.0000  0.0000
Nb  0.5000  0.5000  0.5000
Bi  0.2500  0.2500  0.2500
Bi  0.7500  0.7500  0.7500

***

# 20
First-principles (GGA-PBEsol) data for crystalline Nb2TcBiW at its relaxed geometry, as listed in Alexandria.

Final energy ... -8.872 eV per atom
Energy of formation from the pure elements ... 1.328 eV/atom

a b c (Å): 4.8924 4.8924 4.6752
angles (deg): 90.00 90.00 90.00
Sites, in units of the cell vectors:
Nb  0.0000  0.5000  0.0000
Nb  0.5000  0.0000  0.0000
Tc  0.0000  0.0000  0.5000
Bi  0.5000  0.5000  0.5000
W  0.0000  0.0000  0.0000

***

# 21
First-principles (GGA-PBEsol) data for crystalline Nb3BiTe at its relaxed geometry, as listed in Alexandria.

Final energy ... -6.812 eV per atom
Formation energy without anion corrections ... 6.218 eV per formula unit

a b c (Å): 5.0136 5.0136 5.0136
angles (deg): 90.00 90.00 90.00
Sites, in units of the cell vectors:
Nb  0.0000  0.0000  0.5000
Nb  0.0000  0.5000  0.0000
Nb  0.5000  0.0000  0.0000
Bi  0.5000  0.5000  0.5000
Te  0.0000  0.0000  0.0000